Below is a relaxed Mg6CoSi crystal, with properties calculated at the PBE level.

a = 4.660 Å, b = 6.109 Å, c = 10.441 Å
α = 90.00°, β = 90.00°, γ = 90.00°
Space group Amm2 (No. 38)
Unique sites:
Mg1 0.000 0.000 0.000 [2 per cell]
Mg2 0.000 0.235 0.258 [4 per cell]
Mg3 0.500 0.000 0.832 [2 per cell]
Mg4 0.500 0.240 0.577 [4 per cell]
Co1 0.500 0.000 0.357 [2 per cell]
Si1 0.000 0.000 0.483 [2 per cell]

## Properties
DOS(E_F) (states/eV per cell): 7.31
Theoretical density (kg/m³): 2602
Volume (A^3/atom): 18.577
Raw total energy (eV/atom): -2.663